The following is a PBE calculation of an optimized crystal structure of CoPt2W, from Alexandria via LeMat-Bulk.

Results
DFT formation energy: -94 meV/atom
N(E_F): 4.63 states/eV/f.u.
Total energy: -0.59750 Ry per atom
Excess energy over the best structure of this formula in the dataset: 91.1 meV/atom
Calculated volume: 58.7 Å³/cell

Cell lengths 4.805, 4.805, 2.724 Å; angles 90.00, 90.00, 111.05 degrees
Element x y z (fractional)
Co 0.000 0.000 0.000
Pt 0.000 0.500 0.500
Pt 0.500 0.000 0.500
W 0.500 0.500 0.000